# 1
VASP calculation (PBE-GGA) on an optimized crystal structure of PrGdAlCu.

Properties
Calculated formation energy (eV/atom): -0.229
Volume (Å³/cell): 97.9
Magnetization (μB/f.u.): 7.65
ρ (g/cm3): 6.6
Density of states at the Fermi level (states/eV per atom): 0.90
Crystal system: cubic
SG: No. 216

a b c (Å): 5.1742 5.1742 5.1742
angles (deg): 60.00 60.00 60.00
Last column: magnetic moment on the atom in μB.
Sites, in units of the cell vectors:
Pr (0.5000, 0.5000, 0.5000)  0.11
Gd (0.0000, 0.0000, 0.0000)  7.14
Al (0.7500, 0.7500, 0.7500)  0.00
Cu (0.2500, 0.2500, 0.2500)  0.05


# 2
VASP calculation (PBE-GGA) on an optimized crystal structure of GdAlCuRh.

Properties
Calculated formation energy (eV/atom): -0.491
Volume (Å³/cell): 69.9
Magnetization (μB/f.u.): 7.21
ρ (g/cm3): 8.3
Density of states at the Fermi level (states/eV per atom): 0.66
Crystal system: cubic
SG: No. 216

a b c (Å): 4.6241 4.6241 4.6241
angles (deg): 60.00 60.00 60.00
Last column: magnetic moment on the atom in μB.
Sites, in units of the cell vectors:
Gd (0.0000, 0.0000, 0.0000)  7.01
Rh (0.7500, 0.7500, 0.7500)  0.03
Al (0.5000, 0.5000, 0.5000)  0.00
Cu (0.2500, 0.2500, 0.2500)  0.01


# 3
VASP calculation (PBE-GGA) on an optimized crystal structure of TbGdAlCu.

Properties
Calculated formation energy (eV/atom): -0.274
Volume (Å³/cell): 92.5
Magnetization (μB/f.u.): 7.58
ρ (g/cm3): 7.3
Density of states at the Fermi level (states/eV per atom): 0.83
Crystal system: cubic
SG: No. 216

a b c (Å): 5.0767 5.0767 5.0767
angles (deg): 60.00 60.00 60.00
Last column: magnetic moment on the atom in μB.
Sites, in units of the cell vectors:
Gd (0.2500, 0.2500, 0.2500)  7.12
Tb (0.7500, 0.7500, 0.7500)  0.12
Al (0.0000, 0.0000, 0.0000)  0.00
Cu (0.5000, 0.5000, 0.5000)  0.04


# 4
VASP calculation (PBE-GGA) on an optimized crystal structure of GdYAlCu.

Properties
Calculated formation energy (eV/atom): -0.287
Volume (Å³/cell): 92.4
Magnetization (μB/f.u.): 7.52
ρ (g/cm3): 6.1
Density of states at the Fermi level (states/eV per atom): 0.80
Crystal system: cubic
SG: No. 216

a b c (Å): 5.0741 5.0741 5.0741
angles (deg): 60.00 60.00 60.00
Last column: magnetic moment on the atom in μB.
Sites, in units of the cell vectors:
Y (0.7500, 0.7500, 0.7500)  -0.08
Gd (0.2500, 0.2500, 0.2500)  -7.11
Al (0.5000, 0.5000, 0.5000)  0.01
Cu (0.0000, 0.0000, 0.0000)  -0.04